No. 1
{"formula": "YSi2Au", "functional": "meta-GGA SCAN", "state": "single point on PBEsol structure", "raw_formation_energy_ev_per_fu": -1.54, "lattice": [[-3.3476, -1.5218, -1.4848], [2.1590, -1.5368, -3.2924], [0.6889, -3.5918, 2.1282]], "species": ["Au", "Si", "Si", "Y"], "frac_coords": [[0.5000, 0.0000, 0.5000], [0.0000, 0.0000, 0.0000], [0.0000, 0.5000, 0.5000], [0.5000, 0.5000, 0.0000]]}

No. 2
{"formula": "ZnSi2Au", "functional": "meta-GGA SCAN", "state": "single point on PBEsol structure", "raw_formation_energy_ev_per_fu": 1.30, "lattice": [[3.4273, 0.0000, 0.0000], [0.0000, 4.4475, 0.0268], [0.0000, -1.5495, 4.1689]], "species": ["Au", "Si", "Si", "Zn"], "frac_coords": [[0.5000, 0.5000, 0.5000], [0.0000, 0.5000, 0.0000], [0.0000, 0.0000, 0.5000], [0.5000, 0.0000, 0.0000]]}

No. 3
{"formula": "ZnSi2Au", "functional": "meta-GGA SCAN", "state": "single point on PBEsol structure", "raw_formation_energy_ev_per_fu": 1.39, "lattice": [[-0.5421, 2.5961, -0.1055], [-4.6803, -0.9766, 0.0191], [-0.0207, 0.1950, 4.9049]], "species": ["Au", "Si", "Si", "Zn"], "frac_coords": [[0.0000, 0.5000, 0.5000], [0.0000, 0.0000, 0.0000], [0.5000, 0.5000, 0.0000], [0.5000, 0.0000, 0.5000]]}

No. 4
{"formula": "Zn3SiAu", "functional": "meta-GGA SCAN", "state": "single point on PBEsol structure", "raw_formation_energy_ev_per_fu": 2.44, "lattice": [[4.5871, 0.0000, 0.0000], [0.0000, 4.5871, 0.0000], [0.0000, 0.0000, 4.5871]], "species": ["Zn", "Zn", "Zn", "Au", "Si"], "frac_coords": [[0.0000, 0.5000, 0.0000], [0.0000, 0.0000, 0.5000], [0.5000, 0.0000, 0.0000], [0.5000, 0.5000, 0.5000], [0.0000, 0.0000, 0.0000]]}

No. 5
{"formula": "ZnSi2Au", "functional": "meta-GGA SCAN", "state": "single point on PBEsol structure", "raw_formation_energy_ev_per_fu": 1.60, "lattice": [[2.8624, 0.0000, 0.0000], [0.0000, 2.8624, 0.0000], [0.0000, 0.0000, 7.6509]], "species": ["Au", "Si", "Si", "Zn"], "frac_coords": [[0.5000, 0.5000, 0.5000], [0.0000, 0.0000, 0.7505], [0.0000, 0.0000, 0.2495], [0.5000, 0.5000, 0.0000]]}

No. 6
{"formula": "Zr2SiAu", "functional": "meta-GGA SCAN", "state": "single point on PBEsol structure", "raw_formation_energy_ev_per_fu": -2.57, "lattice": [[-3.5568, -2.4464, -0.0450], [3.3561, -1.0059, -3.4943], [2.4118, -3.5187, 0.6625]], "species": ["Au", "Si", "Zr", "Zr"], "frac_coords": [[0.5000, 0.0000, 0.5000], [0.0000, 0.0000, 0.0000], [0.2500, 0.5000, 0.2500], [0.7500, 0.5000, 0.7500]]}

No. 7
{"formula": "ZrSi2Au", "functional": "meta-GGA SCAN", "state": "single point on PBEsol structure", "raw_formation_energy_ev_per_fu": -1.78, "lattice": [[-2.8017, 2.2814, 0.9918], [-2.3016, -2.9440, 0.2703], [3.7156, -0.1707, 3.8120]], "species": ["Au", "Si", "Si", "Zr"], "frac_coords": [[0.2500, 0.7500, 0.5000], [0.0000, 0.0000, 0.0000], [0.7500, 0.2500, 0.5000], [0.5000, 0.5000, 0.0000]]}

No. 8
{"formula": "ZrSi2Au", "functional": "meta-GGA SCAN", "state": "single point on PBEsol structure", "raw_formation_energy_ev_per_fu": -1.90, "lattice": [[-1.8036, -2.2565, 1.1788], [2.5195, -2.7411, -1.3923], [2.7758, 0.1999, 4.6297]], "species": ["Si", "Si", "Au", "Zr"], "frac_coords": [[0.0000, 0.0000, 0.2751], [0.0000, 0.0000, 0.7249], [0.0000, 0.5000, 0.0000], [0.5000, 0.5000, 0.5000]]}